The following is a PBE-GGA calculation of a relaxed structure of CrGeOsPt2, from Alexandria via LeMat-Bulk.

a = 4.667 Å, b = 4.667 Å, c = 4.402 Å
α = 90.00°, β = 90.00°, γ = 90.00°
Sites, in units of the cell vectors:
Cr 0.000 0.000 0.000
Ge 0.500 0.500 0.500
Os 0.000 0.000 0.500
Pt 0.000 0.500 0.000
Pt 0.500 0.000 0.000

crystal system	tetragonal
final energy	-31.743	eV for the cell shown
volume	19.17	A^3/atom

=====

The following is a PBE-GGA calculation of a relaxed structure of CaPm3Th2N6, from Alexandria via LeMat-Bulk.

a = 8.063 Å, b = 8.063 Å, c = 7.266 Å
α = 103.25°, β = 103.25°, γ = 26.11°
Sites, in units of the cell vectors:
Ca 0.000 0.000 0.000
Pm 0.000 0.000 0.500
Pm 0.337 0.337 0.164
Pm 0.663 0.663 0.836
Th 0.337 0.337 0.674
Th 0.663 0.663 0.326
N 0.169 0.169 0.092
N 0.169 0.169 0.577
N 0.496 0.496 0.739
N 0.504 0.504 0.261
N 0.831 0.831 0.423
N 0.831 0.831 0.908

crystal system	monoclinic
final energy	-98.617	eV for the cell shown
volume	16.84	A^3/atom

=====

The following is a PBE-GGA calculation of a relaxed structure of Co2NiSe, from Alexandria via LeMat-Bulk.

a = 5.011 Å, b = 5.011 Å, c = 3.005 Å
α = 106.63°, β = 106.63°, γ = 122.10°
Sites, in units of the cell vectors:
Co 0.000 0.500 0.000
Co 0.500 0.000 0.000
Ni 0.000 0.000 0.500
Se 0.500 0.500 0.500

crystal system	monoclinic
final energy	-22.199	eV for the cell shown
volume	12.89	A^3/atom

=====

The following is a PBE-GGA calculation of a relaxed structure of BeCrSi, from Alexandria via LeMat-Bulk.

a = 2.576 Å, b = 2.576 Å, c = 5.877 Å
α = 90.00°, β = 90.00°, γ = 120.00°
Sites, in units of the cell vectors:
Be 0.000 0.000 0.000
Cr 0.667 0.333 0.325
Si 0.333 0.667 0.670

crystal system	trigonal
final energy	-18.148	eV for the cell shown
volume	11.26	A^3/atom

=====

The following is a PBE-GGA calculation of a relaxed structure of Sm8Sb5As, from Alexandria via LeMat-Bulk.

a = 8.074 Å, b = 8.074 Å, c = 8.074 Å
α = 109.80°, β = 109.80°, γ = 108.82°
Sites, in units of the cell vectors:
Sm 0.108 0.230 0.737
Sm 0.122 0.729 0.748
Sm 0.271 0.019 0.393
Sm 0.493 0.372 0.263
Sm 0.626 0.878 0.607
Sm 0.628 0.892 0.122
Sm 0.770 0.507 0.878
Sm 0.981 0.374 0.252
Sb 0.000 0.000 0.000
Sb 0.253 0.621 0.127
Sb 0.379 0.506 0.632
Sb 0.494 0.126 0.873
Sb 0.874 0.747 0.368
As 0.750 0.250 0.500

crystal system	tetragonal
final energy	-78.087	eV for the cell shown
volume	28.93	A^3/atom

=====

The following is a PBE-GGA calculation of a relaxed structure of Hf2AgIr, from Alexandria via LeMat-Bulk.

a = 6.048 Å, b = 6.048 Å, c = 6.048 Å
α = 103.08°, β = 103.08°, γ = 123.20°
Sites, in units of the cell vectors:
Hf 0.092 0.625 0.967
Hf 0.375 0.342 0.467
Hf 0.658 0.125 0.033
Hf 0.875 0.908 0.533
Ag 0.250 0.750 0.500
Ag 0.500 0.500 0.000
Ir 0.000 0.000 0.000
Ir 0.750 0.250 0.500

crystal system	tetragonal
final energy	-63.396	eV for the cell shown
volume	20.35	A^3/atom

=====

The following is a PBE-GGA calculation of a relaxed structure of Rh3Br, from Alexandria via LeMat-Bulk.

a = 3.970 Å, b = 3.970 Å, c = 3.970 Å
α = 90.00°, β = 90.00°, γ = 90.00°
Sites, in units of the cell vectors:
Rh 0.000 0.000 0.500
Rh 0.000 0.500 0.000
Rh 0.500 0.000 0.000
Br 0.500 0.500 0.500

polymorph energy (0 for the lowest one)	27.2	kJ per mole of atoms
crystal system	cubic
volume	15.64	A^3/atom

=====

The following is a PBE-GGA calculation of a relaxed structure of Re2TeRh, from Alexandria via LeMat-Bulk.

a = 4.552 Å, b = 4.552 Å, c = 4.552 Å
α = 60.00°, β = 60.00°, γ = 60.00°
Sites, in units of the cell vectors:
Re 0.000 0.000 0.000
Re 0.250 0.250 0.250
Te 0.750 0.750 0.750
Rh 0.500 0.500 0.500

crystal system	cubic
final energy	-32.449	eV for the cell shown
volume	16.68	A^3/atom

=====

- Which formula does entry 4 have?
  BeCrSi